Record 1
# RhWNO2 (PBE with a Hubbard U, relaxed)
data_RhWNO2
_cell_length_a 3.911
_cell_length_b 3.911
_cell_length_c 4.031
_cell_angle_alpha 90.00
_cell_angle_beta 90.00
_cell_angle_gamma 90.00
_symmetry_space_group_name_H-M 'P 4/m m m'
_symmetry_Int_Tables_number 123
_symmetry_space_group_name_Hall '-P 4 2'
loop_
_atom_site_label
_atom_site_fract_x
_atom_site_fract_y
_atom_site_fract_z
Rh1 0.000 0.000 0.000
W1 0.500 0.500 0.500
N1 0.500 0.500 0.000
O1 0.000 0.500 0.500
# uncorrected energy = -6.77 eV/atom
# size of the total moment = 2.121 Bohr magnetons per cell
# crystal system = tetragonal
# ρ = 9.0 g/cm3

---

Record 2
# Ba3CrGe2O8 (PBE with a Hubbard U, relaxed)
data_Ba3CrGe2O8
_cell_length_a 5.8420
_cell_length_b 5.8420
_cell_length_c 7.5099
_cell_angle_alpha 90.00
_cell_angle_beta 90.00
_cell_angle_gamma 120.00
_symmetry_space_group_name_H-M 'P -3 m 1'
_symmetry_Int_Tables_number 164
_symmetry_space_group_name_Hall '-P 3 2"'
loop_
_atom_site_label
_atom_site_fract_x
_atom_site_fract_y
_atom_site_fract_z
Ba1 0.0000 0.0000 0.0000
Ba2 0.3333 0.6667 0.6585
Cr1 0.0000 0.0000 0.5000
Ge1 0.3333 0.6667 0.2235
O1 0.1695 0.3390 0.3191
O2 0.3333 0.6667 0.9923
# uncorrected energy = -6.65 eV/atom
# size of the total moment = 4.000 Bohr magnetons per cell
# crystal system = trigonal
# ρ = 5.5 g/cm3